Record 1
Compound: PtO8
Source: Alexandria
Functional: PBE-GGA
Structure: optimized geometry

Structure (POSCAR):
```
PtO8
1.0
-3.2388 3.2388 3.3841
3.2388 -3.2388 3.3841
3.2388 3.2388 -3.3841
Pt O
1 8
Direct
0.0000 0.0000 0.0000 Pt
0.0000 0.4013 0.4013 O
0.0000 0.5987 0.5987 O
0.3846 0.3846 0.7692 O
0.3846 0.6154 0.0000 O
0.4013 0.0000 0.4013 O
0.5987 0.0000 0.5987 O
0.6154 0.3846 0.0000 O
0.6154 0.6154 0.2308 O
```

Computed properties:
The calculation puts the uncorrected formation energy at 9.7 eV per formula unit. Its total energy is -4.00 eV per atom. Its symmetry is No. 139. For the calculated volume, the calculation gives 15.777 Å³/atom.

Record 2
Compound: ReSbIF2
Source: Alexandria
Functional: PBE-GGA
Structure: optimized geometry

Structure (POSCAR):
```
ReSbIF2
1.0
4.2637 0.0000 0.0000
0.0000 4.2637 0.0000
0.0000 0.0000 5.5834
Re Sb I F
1 1 1 2
Direct
0.0000 0.0000 0.0000 Re
0.0000 0.0000 0.5000 Sb
0.5000 0.5000 0.0000 I
0.0000 0.5000 0.5000 F
0.5000 0.0000 0.5000 F
```

Computed properties:
The calculation puts the uncorrected formation energy at -2.2 eV per formula unit. Its total energy is -4.81 eV per atom. The value obtained for the energy above the most stable polymorph in this dataset is 66.3 meV/atom. Its symmetry is No. 123. For the calculated volume, the calculation gives 20.300 Å³/atom.

Record 3
Compound: Pm12Tm6In
Source: Alexandria
Functional: PBE-GGA
Structure: optimized geometry

Structure (POSCAR):
```
Pm12Tm6In
1.0
5.9904 3.4586 5.0528
-5.9904 3.4586 5.0528
0.0000 -6.9171 5.0528
Pm Tm In
12 6 1
Direct
0.0380 0.2854 0.9318 Pm
0.0682 0.9620 0.7146 Pm
0.1356 0.3219 0.4843 Pm
0.2854 0.9318 0.0380 Pm
0.3219 0.4843 0.1356 Pm
0.4843 0.1356 0.3219 Pm
0.5157 0.8644 0.6781 Pm
0.6781 0.5157 0.8644 Pm
0.7146 0.0682 0.9620 Pm
0.8644 0.6781 0.5157 Pm
0.9318 0.0380 0.2854 Pm
0.9620 0.7146 0.0682 Pm
0.2169 0.6006 0.7566 Tm
0.2434 0.7831 0.3994 Tm
0.3994 0.2434 0.7831 Tm
0.6006 0.7566 0.2169 Tm
0.7566 0.2169 0.6006 Tm
0.7831 0.3994 0.2434 Tm
0.5000 0.5000 0.5000 In
```

Computed properties:
Its total energy is -4.49 eV per atom. For the energy of formation, the calculation gives 0.065 eV/atom. The value obtained for the energy above the most stable polymorph in this dataset is 0.0 meV/atom. Its symmetry is No. 148. For the calculated volume, the calculation gives 33.058 Å³/atom.

Record 4
Compound: Pm2Ho3Tm2
Source: Alexandria
Functional: PBE-GGA
Structure: optimized geometry

Structure (POSCAR):
```
Pm2Ho3Tm2
1.0
8.7106 -1.7464 0.0000
8.7106 1.7464 0.0000
-4.1263 0.0000 7.4150
Pm Ho Tm
2 3 2
Direct
0.0666 0.0666 0.2205 Pm
0.9334 0.9334 0.7795 Pm
0.2885 0.2885 0.3753 Ho
0.5000 0.5000 0.5000 Ho
0.7115 0.7115 0.6247 Ho
0.3499 0.3499 0.0333 Tm
0.6501 0.6501 0.9667 Tm
```

Computed properties:
Its total energy is -4.47 eV per atom. For the energy of formation, the calculation gives 0.123 eV/atom. The value obtained for the energy above the most stable polymorph in this dataset is 101.8 meV/atom. Its symmetry is No. 12. For the calculated volume, the calculation gives 32.227 Å³/atom.

Record 5
Compound: BaBeOs2
Source: Alexandria
Functional: PBE-GGA
Structure: optimized geometry

Structure (POSCAR):
```
BaBeOs2
1.0
-1.4743 2.7927 4.9726
1.4743 -2.7927 4.9726
1.4743 2.7927 -4.9726
Ba Be Os
1 1 2
Direct
0.0000 0.0000 0.0000 Ba
0.6963 0.1963 0.5000 Be
0.3071 0.8071 0.5000 Os
0.5118 0.5118 0.0000 Os
```

Computed properties:
Its total energy is -5.88 eV per atom. For the energy of formation, the calculation gives 1.143 eV/atom. Its symmetry is No. 44. For the calculated volume, the calculation gives 20.473 Å³/atom.

Record 6
Compound: Tl2CuSbO4
Source: Alexandria
Functional: PBE-GGA
Structure: optimized geometry

Structure (POSCAR):
```
Tl2CuSbO4
1.0
6.8513 0.0000 0.0000
0.0000 8.3357 0.0000
0.0000 0.0000 5.5162
Tl Cu Sb O
4 2 2 8
Direct
0.2495 0.1667 0.0000 Tl
0.2505 0.8333 0.5000 Tl
0.7495 0.8333 0.5000 Tl
0.7505 0.1667 0.0000 Tl
0.0000 0.3392 0.5073 Cu
0.5000 0.6608 0.0073 Cu
0.0000 0.5971 0.9732 Sb
0.5000 0.4029 0.4732 Sb
0.0000 0.3855 0.1144 O
0.0000 0.6093 0.6242 O
0.2292 0.7143 0.0788 O
0.2708 0.2857 0.5788 O
0.5000 0.3907 0.1242 O
0.5000 0.6145 0.6144 O
0.7292 0.2857 0.5788 O
0.7708 0.7143 0.0788 O
```

Computed properties:
The calculation puts the uncorrected formation energy at -6.7 eV per formula unit. Its total energy is -4.94 eV per atom. Its symmetry is No. 31. For the calculated volume, the calculation gives 19.689 Å³/atom.

Record 7
Compound: Na2DyUS4
Source: Alexandria
Functional: PBE-GGA
Structure: optimized geometry

Structure (POSCAR):
```
Na2DyUS4
1.0
6.8969 0.0000 0.0000
0.0000 3.9764 0.0000
-2.2985 0.0000 6.7198
Na Dy U S
2 1 1 4
Direct
0.0000 0.0000 0.0000 Na
0.5000 0.5000 0.0000 Na
0.0000 0.5000 0.5000 Dy
0.5000 0.0000 0.5000 U
0.2425 0.0000 0.7288 S
0.2559 0.5000 0.2705 S
0.7441 0.5000 0.7295 S
0.7575 0.0000 0.2712 S
```

Computed properties:
The calculation puts the uncorrected formation energy at -12.6 eV per formula unit. Its total energy is -5.96 eV per atom. Its symmetry is No. 10. For the calculated volume, the calculation gives 23.036 Å³/atom.

Record 8
Compound: AlRe2W
Source: Alexandria
Functional: PBE-GGA
Structure: optimized geometry

Structure (POSCAR):
```
AlRe2W
1.0
-1.5574 2.2239 4.3358
1.5574 -2.2239 4.3358
1.5574 2.2239 -4.3358
Al Re W
1 2 1
Direct
0.0000 0.0000 0.0000 Al
0.2531 0.7531 0.5000 Re
0.7469 0.2469 0.5000 Re
0.5000 0.5000 0.0000 W
```

Computed properties:
Its total energy is -10.43 eV per atom. For the energy of formation, the calculation gives -0.028 eV/atom. Its symmetry is No. 71. For the calculated volume, the calculation gives 15.017 Å³/atom.